# SmScCr2O8 PBE with a Hubbard U optimized geometry
data_SmScCr2O8
_chemical_formula_sum 'Sm2 Sc2 Cr4 O16'
_cell_length_a 7.148
_cell_length_b 7.148
_cell_length_c 6.227
_cell_angle_alpha 90.00
_cell_angle_beta 90.00
_cell_angle_gamma 90.00
_symmetry_space_group_name_H-M 'I -4 m 2'
_symmetry_Int_Tables_number 119
_symmetry_space_group_name_Hall 'I -4 -2'
loop_
_atom_site_label
_atom_site_fract_x
_atom_site_fract_y
_atom_site_fract_z
Sm1 0.000 0.000 0.000
Sc1 0.000 0.500 0.250
Cr1 0.000 0.000 0.500
Cr2 0.000 0.500 0.750
O1 0.000 0.191 0.330
O2 0.000 0.321 0.934
# - VASP energy (eV/cell) = -184.55
# - magnetization (μB per atom) = 0.167